Entry 1:
{"formula": "GeSb2PtI", "functional": "PBEsol", "state": "relaxed", "volume_a3_per_cell": 141.2, "dft_energy_ev_per_atom": -3.46, "relative_energy_mev_per_atom": 542.1, "lattice": [[5.171, 0.000, 0.000], [0.000, 5.225, 0.000], [0.000, 0.000, 5.225]], "species": ["I", "Sb", "Sb", "Ge", "Pt"], "frac_coords": [[0.500, 0.000, 0.000], [0.000, 0.500, 0.000], [0.000, 0.000, 0.500], [0.000, 0.000, 0.000], [0.500, 0.500, 0.500]]}



Entry 2:
{"formula": "Y2ScTeH", "functional": "PBEsol", "state": "relaxed", "volume_a3_per_cell": 131.3, "dft_energy_ev_per_atom": -5.25, "lattice": [[-0.151, 3.134, -1.980], [-4.964, -1.919, -2.660], [-3.271, 2.541, 4.271]], "species": ["Y", "Y", "Sc", "H", "Te"], "frac_coords": [[0.000, 0.000, 0.500], [0.000, 0.500, 0.000], [0.500, 0.500, 0.500], [0.500, 0.000, 0.000], [0.000, 0.000, 0.000]]}



Entry 3:
{"formula": "MgMn4O6", "functional": "PBEsol", "state": "relaxed", "volume_a3_per_cell": 219.6, "dft_energy_ev_per_atom": -8.17, "lattice": [[2.938, 0.000, 0.000], [-1.469, 4.948, 0.000], [0.000, 0.000, 15.105]], "species": ["O", "O", "O", "O", "O", "O", "O", "O", "O", "O", "O", "O", "Mn", "Mn", "Mn", "Mn", "Mn", "Mn", "Mn", "Mn", "Mg", "Mg"], "frac_coords": [[0.000, 0.000, 0.500], [0.451, 0.901, 0.660], [0.549, 0.099, 0.160], [0.279, 0.559, 0.076], [0.000, 0.000, 0.000], [0.279, 0.559, 0.424], [0.798, 0.596, 0.250], [0.451, 0.901, 0.840], [0.549, 0.099, 0.340], [0.202, 0.404, 0.750], [0.721, 0.441, 0.924], [0.721, 0.441, 0.576], [0.366, 0.731, 0.545], [0.901, 0.802, 0.140], [0.099, 0.198, 0.860], [0.366, 0.731, 0.955], [0.099, 0.198, 0.640], [0.901, 0.802, 0.360], [0.634, 0.269, 0.045], [0.634, 0.269, 0.455], [0.846, 0.692, 0.750], [0.154, 0.308, 0.250]]}



Entry 4:
{"formula": "Sr3GaHg", "functional": "PBEsol", "state": "relaxed", "volume_a3_per_cell": 220.5, "dft_energy_ev_per_atom": -1.92, "lattice": [[-1.983, 3.887, -4.178], [-5.147, 0.693, 3.087], [2.465, 4.572, 3.084]], "species": ["Sr", "Sr", "Sr", "Hg", "Ga"], "frac_coords": [[0.500, 0.000, 0.000], [0.000, 0.500, 0.000], [0.000, 0.000, 0.500], [0.500, 0.500, 0.500], [0.000, 0.000, 0.000]]}



Entry 5:
{"formula": "YCdAg2", "functional": "PBEsol", "state": "relaxed", "volume_a3_per_cell": 81.9, "dft_energy_ev_per_atom": -3.86, "lattice": [[3.493, 0.000, 0.000], [0.000, 3.493, 0.000], [0.000, 0.000, 6.713]], "species": ["Ag", "Ag", "Cd", "Y"], "frac_coords": [[0.000, 0.000, 0.027], [0.500, 0.500, 0.244], [0.000, 0.000, 0.463], [0.500, 0.500, 0.766]]}



Entry 6:
{"formula": "Co3Au", "functional": "PBEsol", "state": "relaxed", "volume_a3_per_cell": 48.2, "dft_energy_ev_per_atom": -6.61, "lattice": [[3.649, 0.000, 0.000], [0.000, 3.649, 0.000], [-1.824, -1.824, 3.619]], "species": ["Au", "Co", "Co", "Co"], "frac_coords": [[0.000, 0.000, 0.000], [0.500, 0.500, 0.000], [0.250, 0.750, 0.500], [0.750, 0.250, 0.500]]}



Entry 7:
{"formula": "Ga2SnIrW", "functional": "PBEsol", "state": "relaxed", "volume_a3_per_cell": 112.6, "dft_energy_ev_per_atom": -6.06, "lattice": [[-2.959, -1.896, 3.180], [3.777, -2.068, 2.282], [0.474, 3.959, 2.802]], "species": ["Sn", "Ga", "Ga", "W", "Ir"], "frac_coords": [[0.500, 0.500, 0.500], [0.000, 0.000, 0.500], [0.000, 0.500, 0.000], [0.000, 0.000, 0.000], [0.500, 0.000, 0.000]]}



Entry 8:
{"formula": "SrLiZr2", "functional": "PBEsol", "state": "relaxed", "volume_a3_per_cell": 98.2, "dft_energy_ev_per_atom": -4.99, "relative_energy_mev_per_atom": 0.0, "lattice": [[-3.348, -0.084, 0.591], [-0.575, -0.461, -3.320], [0.405, -8.411, 1.099]], "species": ["Zr", "Zr", "Li", "Sr"], "frac_coords": [[0.000, 0.000, 0.175], [0.000, 0.000, 0.825], [0.500, 0.500, 0.000], [0.500, 0.500, 0.500]]}



Entry 9:
{"formula": "Li2GeSeI", "functional": "PBEsol", "state": "relaxed", "volume_a3_per_cell": 123.7, "dft_energy_ev_per_atom": -3.41, "lattice": [[4.792, 0.000, 0.000], [0.000, 4.792, 0.000], [0.000, 0.000, 5.387]], "species": ["Se", "Li", "Li", "Ge", "I"], "frac_coords": [[0.000, 0.000, 0.000], [0.000, 0.500, 0.000], [0.500, 0.000, 0.000], [0.000, 0.000, 0.500], [0.500, 0.500, 0.500]]}



Entry 10:
{"formula": "MgTl", "functional": "PBEsol", "state": "relaxed", "volume_a3_per_cell": 194.2, "dft_energy_ev_per_atom": -2.23, "lattice": [[5.791, 0.000, 0.000], [0.000, 5.791, 0.000], [0.000, 0.000, 5.791]], "species": ["Mg", "Mg", "Mg", "Mg", "Tl", "Tl", "Tl", "Tl"], "frac_coords": [[0.400, 0.400, 0.400], [0.900, 0.100, 0.600], [0.100, 0.600, 0.900], [0.600, 0.900, 0.100], [0.597, 0.403, 0.903], [0.403, 0.903, 0.597], [0.097, 0.097, 0.097], [0.903, 0.597, 0.403]]}



Entry 11:
{"formula": "Na2YHCl", "functional": "PBEsol", "state": "relaxed", "volume_a3_per_cell": 139.3, "dft_energy_ev_per_atom": -2.87, "lattice": [[-2.790, -2.870, -3.182], [-3.028, -1.366, 3.887], [-3.158, 4.172, -0.994]], "species": ["H", "Cl", "Na", "Na", "Y"], "frac_coords": [[0.500, 0.500, 0.500], [0.000, 0.000, 0.000], [0.000, 0.500, 0.000], [0.500, 0.000, 0.000], [0.000, 0.000, 0.500]]}



Entry 12:
{"formula": "FeTcRu2", "functional": "PBEsol", "state": "relaxed", "volume_a3_per_cell": 51.6, "dft_energy_ev_per_atom": -10.00, "relative_energy_mev_per_atom": 38.8, "lattice": [[-0.363, 2.118, -1.539], [-0.057, -0.271, -2.629], [-8.565, -0.605, -1.082]], "species": ["Tc", "Ru", "Ru", "Fe"], "frac_coords": [[0.502, 0.502, 0.494], [0.750, 0.750, 0.749], [0.997, 0.997, 0.010], [0.251, 0.251, 0.247]]}



Entry 13:
{"formula": "Te2PRhI", "functional": "PBEsol", "state": "relaxed", "volume_a3_per_cell": 134.3, "dft_energy_ev_per_atom": -3.85, "lattice": [[-2.292, -3.974, 2.175], [4.160, -2.811, -0.751], [1.840, 1.482, 4.644]], "species": ["P", "Te", "Te", "I", "Rh"], "frac_coords": [[0.500, 0.500, 0.500], [0.500, 0.000, 0.000], [0.000, 0.500, 0.000], [0.000, 0.000, 0.500], [0.000, 0.000, 0.000]]}



Entry 14:
{"formula": "Sc2Co3", "functional": "PBEsol", "state": "relaxed", "volume_a3_per_cell": 143.2, "dft_energy_ev_per_atom": -7.55, "lattice": [[4.888, -0.013, 0.000], [-2.396, 4.261, 0.000], [-1.246, -2.124, 6.887]], "species": ["Sc", "Sc", "Sc", "Sc", "Co", "Co", "Co", "Co", "Co", "Co"], "frac_coords": [[0.425, 0.265, 0.404], [0.271, 0.611, 0.096], [0.515, 0.175, 0.904], [0.861, 0.021, 0.596], [0.451, 0.602, 0.751], [0.852, 0.201, 0.251], [0.851, 0.700, 0.249], [0.162, 0.662, 0.500], [0.912, 0.912, 0.000], [0.950, 0.601, 0.749]]}



Entry 15:
{"formula": "SrYCd2", "functional": "PBEsol", "state": "relaxed", "volume_a3_per_cell": 111.3, "dft_energy_ev_per_atom": -3.11, "lattice": [[-2.246, 1.409, 2.732], [-1.135, -3.524, 0.885], [5.762, -0.591, 5.042]], "species": ["Y", "Sr", "Cd", "Cd"], "frac_coords": [[0.500, 0.500, 0.500], [0.500, 0.500, 0.000], [0.000, 0.000, 0.282], [0.000, 0.000, 0.718]]}



Entry 16:
{"formula": "YMg2Cu", "functional": "PBEsol", "state": "relaxed", "volume_a3_per_cell": 170.9, "dft_energy_ev_per_atom": -3.77, "lattice": [[3.944, 0.000, 0.000], [0.000, 3.944, 0.000], [0.000, 0.000, 10.984]], "species": ["Y", "Y", "Cu", "Cu", "Mg", "Mg", "Mg", "Mg"], "frac_coords": [[0.000, 0.500, 0.253], [0.500, 0.000, 0.747], [0.000, 0.500, 0.825], [0.500, 0.000, 0.175], [0.500, 0.000, 0.430], [0.000, 0.000, 0.000], [0.000, 0.500, 0.570], [0.500, 0.500, 0.000]]}



Entry 17:
{"formula": "Ti2CdRh2", "functional": "PBEsol", "state": "relaxed", "volume_a3_per_cell": 87.5, "dft_energy_ev_per_atom": -7.16, "lattice": [[4.086, 0.000, 0.000], [0.000, 4.086, 0.000], [-2.043, -2.043, 5.240]], "species": ["Cd", "Ti", "Ti", "Rh", "Rh"], "frac_coords": [[0.000, 0.000, 0.000], [0.750, 0.250, 0.500], [0.250, 0.750, 0.500], [0.383, 0.383, 0.765], [0.617, 0.617, 0.235]]}



Entry 18:
{"formula": "La2CdTc", "functional": "PBEsol", "state": "relaxed", "volume_a3_per_cell": 98.3, "dft_energy_ev_per_atom": -5.70, "lattice": [[-3.274, 1.104, -0.366], [-1.608, -4.891, -0.378], [1.766, 1.695, 5.808]], "species": ["La", "La", "Tc", "Cd"], "frac_coords": [[0.997, 0.497, 0.995], [0.800, 0.800, 0.601], [0.501, 0.001, 0.002], [0.201, 0.201, 0.403]]}



Entry 19:
{"formula": "K2TaSe", "functional": "PBEsol", "state": "relaxed", "volume_a3_per_cell": 92.4, "dft_energy_ev_per_atom": -3.89, "lattice": [[-3.158, 1.072, 2.195], [1.911, -1.151, 3.312], [2.833, 5.367, -2.177]], "species": ["Se", "K", "K", "Ta"], "frac_coords": [[0.500, 0.500, 0.000], [0.750, 0.250, 0.500], [0.250, 0.750, 0.500], [0.000, 0.000, 0.000]]}



Entry 20:
{"formula": "TlSbAu2", "functional": "PBEsol", "state": "relaxed", "volume_a3_per_cell": 92.4, "dft_energy_ev_per_atom": -3.76, "relative_energy_mev_per_atom": 0.0, "lattice": [[3.857, 0.000, 0.000], [0.000, 4.195, 0.000], [0.000, 0.000, 5.710]], "species": ["Tl", "Sb", "Au", "Au"], "frac_coords": [[0.500, 0.500, 0.875], [0.000, 0.000, 0.375], [0.500, 0.500, 0.375], [0.000, 0.000, 0.875]]}



Entry 21:
{"formula": "CdCuPt2", "functional": "PBEsol", "state": "relaxed", "volume_a3_per_cell": 60.3, "dft_energy_ev_per_atom": -4.90, "lattice": [[-2.094, -0.149, 1.827], [0.536, -0.044, 2.731], [-0.955, 8.906, 1.750]], "species": ["Cu", "Cd", "Pt", "Pt"], "frac_coords": [[0.253, 0.253, 0.242], [0.503, 0.503, 0.491], [0.749, 0.749, 0.754], [0.996, 0.996, 0.013]]}



Entry 22:
{"formula": "Cd2In2Te", "functional": "PBEsol", "state": "relaxed", "volume_a3_per_cell": 133.0, "dft_energy_ev_per_atom": -2.35, "lattice": [[4.028, 0.000, 0.000], [0.000, 4.028, 0.000], [-2.014, -2.014, 8.196]], "species": ["In", "In", "Cd", "Cd", "Te"], "frac_coords": [[0.403, 0.403, 0.806], [0.597, 0.597, 0.194], [0.250, 0.750, 0.500], [0.750, 0.250, 0.500], [0.000, 0.000, 0.000]]}



Entry 23:
{"formula": "Li2AlTl", "functional": "PBEsol", "state": "relaxed", "volume_a3_per_cell": 69.9, "dft_energy_ev_per_atom": -2.82, "lattice": [[-3.273, 0.218, -0.090], [0.082, -0.123, -3.278], [-0.437, -6.475, 0.233]], "species": ["Al", "Li", "Li", "Tl"], "frac_coords": [[0.500, 0.500, 0.500], [0.000, 0.000, 0.262], [0.000, 0.000, 0.738], [0.500, 0.500, 0.000]]}



Entry 24:
{"formula": "BeCoSeN2", "functional": "PBEsol", "state": "relaxed", "volume_a3_per_cell": 62.8, "dft_energy_ev_per_atom": -5.68, "lattice": [[3.471, 0.000, 0.000], [0.000, 3.471, 0.000], [0.000, 0.000, 5.211]], "species": ["Se", "N", "N", "Be", "Co"], "frac_coords": [[0.000, 0.000, 0.500], [0.500, 0.000, 0.000], [0.000, 0.500, 0.000], [0.500, 0.500, 0.500], [0.000, 0.000, 0.000]]}



Entry 25:
{"formula": "CrCo2", "functional": "PBEsol", "state": "relaxed", "volume_a3_per_cell": 92.8, "dft_energy_ev_per_atom": -8.51, "lattice": [[-1.652, 1.766, 0.166], [-4.828, -4.554, 0.407], [2.941, 2.231, 5.530]], "species": ["Cr", "Cr", "Cr", "Co", "Co", "Co", "Co", "Co", "Co"], "frac_coords": [[0.000, 0.333, 0.667], [0.000, 0.667, 0.333], [0.500, 0.000, 0.000], [0.500, 0.355, 0.355], [0.000, 0.308, 0.000], [0.000, 0.000, 0.308], [0.000, 0.692, 0.692], [0.500, 0.000, 0.645], [0.500, 0.645, 0.000]]}



Entry 26:
{"formula": "NdGeRh", "functional": "PBEsol", "state": "relaxed", "volume_a3_per_cell": 229.9, "dft_energy_ev_per_atom": -7.00, "lattice": [[-1.845, -3.960, 0.726], [4.259, -0.919, 5.811], [-4.966, 3.070, 4.126]], "species": ["Nd", "Nd", "Nd", "Nd", "Rh", "Rh", "Rh", "Rh", "Ge", "Ge", "Ge", "Ge"], "frac_coords": [[0.750, 0.517, 0.679], [0.750, 0.017, 0.821], [0.250, 0.483, 0.321], [0.250, 0.983, 0.179], [0.250, 0.643, 0.930], [0.750, 0.357, 0.070], [0.750, 0.857, 0.430], [0.250, 0.143, 0.570], [0.250, 0.801, 0.609], [0.250, 0.301, 0.891], [0.750, 0.199, 0.391], [0.750, 0.699, 0.109]]}



Entry 27:
{"formula": "SrHfPtI2", "functional": "PBEsol", "state": "relaxed", "volume_a3_per_cell": 155.3, "dft_energy_ev_per_atom": -4.93, "lattice": [[-0.005, -4.748, 1.756], [3.996, -1.335, -3.597], [3.837, 1.382, 3.749]], "species": ["Sr", "Pt", "I", "I", "Hf"], "frac_coords": [[0.500, 0.500, 0.500], [0.500, 0.000, 0.000], [0.000, 0.000, 0.500], [0.000, 0.500, 0.000], [0.000, 0.000, 0.000]]}